La7Er4Pu after structural relaxation. Source: Alexandria via LeMat-Bulk, functional PBE.

a b c (Å): 5.8098 6.4773 11.5293
angles (deg): 101.07 104.53 90.01
Sites, in units of the cell vectors:
La: 0.0000 0.0000 0.0000
La: 0.1339 0.4939 0.2663
La: 0.2090 0.0658 0.4172
La: 0.4529 0.6970 0.9068
La: 0.5471 0.3030 0.0932
La: 0.7910 0.9342 0.5828
La: 0.8661 0.5061 0.7337
Er: 0.2913 0.6080 0.5834
Er: 0.3827 0.1619 0.7676
Er: 0.6173 0.8381 0.2324
Er: 0.7087 0.3920 0.4166
Pu: 0.0000 0.5000 0.0000

Properties
DOS at the Fermi energy = 1.776 states/eV/atom
space group = P-1
ΔE_f = 0.13 eV per atom

=====

La4Er5Pu after structural relaxation. Source: Alexandria via LeMat-Bulk, functional PBE.

a b c (Å): 8.5873 8.5873 11.3835
angles (deg): 94.42 94.42 23.39
Sites, in units of the cell vectors:
La: 0.0198 0.0198 0.2350
La: 0.1790 0.1790 0.7416
La: 0.8210 0.8210 0.2584
La: 0.9802 0.9802 0.7650
Er: 0.1733 0.1733 0.0558
Er: 0.1757 0.1757 0.4284
Er: 0.5000 0.5000 0.5000
Er: 0.8243 0.8243 0.5716
Er: 0.8267 0.8267 0.9442
Pu: 0.5000 0.5000 0.0000

Properties
DOS at the Fermi energy = 1.818 states/eV/atom
space group = C2/m
ΔE_f = 0.21 eV per atom

=====

LaErPu2 after structural relaxation. Source: Alexandria via LeMat-Bulk, functional PBE.

a b c (Å): 4.9007 4.9007 4.9659
angles (deg): 90.00 90.00 90.00
Sites, in units of the cell vectors:
La: 0.0000 0.0000 0.0000
Er: 0.5000 0.5000 0.0000
Pu: 0.0000 0.5000 0.5000
Pu: 0.5000 0.0000 0.5000

Properties
DOS at the Fermi energy = 3.846 states/eV/atom
space group = P4/mmm
ΔE_f = 0.20 eV per atom

=====

La6Er3Pu after structural relaxation. Source: Alexandria via LeMat-Bulk, functional PBE.

a b c (Å): 6.2085 9.5225 13.1464
angles (deg): 90.00 118.11 90.00
Sites, in units of the cell vectors:
La: 0.0563 0.1697 0.0676
La: 0.0563 0.3303 0.5676
La: 0.3732 0.0077 0.7380
La: 0.3732 0.4923 0.2380
La: 0.4105 0.1590 0.4306
La: 0.4105 0.3410 0.9306
La: 0.5895 0.6590 0.0694
La: 0.5895 0.8410 0.5694
La: 0.6268 0.5077 0.7620
La: 0.6268 0.9923 0.2620
La: 0.9437 0.6697 0.4324
La: 0.9437 0.8303 0.9324
Er: 0.1282 0.6622 0.7488
Er: 0.1282 0.8378 0.2488
Er: 0.5000 0.0000 0.0000
Er: 0.5000 0.5000 0.5000
Er: 0.8718 0.1622 0.7512
Er: 0.8718 0.3378 0.2512
Pu: 0.0000 0.0000 0.5000
Pu: 0.0000 0.5000 0.0000

Properties
DOS at the Fermi energy = 1.736 states/eV/atom
space group = P2_1/c
ΔE_f = 0.19 eV per atom

=====

LaEr2Pu after structural relaxation. Source: Alexandria via LeMat-Bulk, functional PBE.

a b c (Å): 3.5359 3.5359 10.0107
angles (deg): 90.00 90.00 90.00
Sites, in units of the cell vectors:
La: 0.0000 0.0000 0.0000
Er: 0.5000 0.5000 0.2645
Er: 0.5000 0.5000 0.7355
Pu: 0.0000 0.0000 0.5000

Properties
DOS at the Fermi energy = 2.749 states/eV/atom
space group = P4/mmm
ΔE_f = 0.11 eV per atom

=====

La12Er6Pu after structural relaxation. Source: Alexandria via LeMat-Bulk, functional PBE.

a b c (Å): 9.6416 9.6416 9.6416
angles (deg): 110.83 110.83 110.83
Sites, in units of the cell vectors:
La: 0.0581 0.3734 0.5817
La: 0.1022 0.7417 0.1544
La: 0.1544 0.1022 0.7417
La: 0.2583 0.8456 0.8978
La: 0.3734 0.5817 0.0581
La: 0.4183 0.9419 0.6266
La: 0.5817 0.0581 0.3734
La: 0.6266 0.4183 0.9419
La: 0.7417 0.1544 0.1022
La: 0.8456 0.8978 0.2583
La: 0.8978 0.2583 0.8456
La: 0.9419 0.6266 0.4183
Er: 0.2155 0.4684 0.3168
Er: 0.3168 0.2155 0.4684
Er: 0.4684 0.3168 0.2155
Er: 0.5316 0.6832 0.7845
Er: 0.6832 0.7845 0.5316
Er: 0.7845 0.5316 0.6832
Pu: 0.0000 0.0000 0.0000

Properties
DOS at the Fermi energy = 1.907 states/eV/atom
space group = R-3
ΔE_f = 0.04 eV per atom